Entry 1:
! Ta3TcRu2, optimized geometry, DFT PBE; values from VASP
! formation energy: -2.2 eV per formula unit
! SG: Cmmm (65)
&SYSTEM
  ibrav = 0, nat = 12, ntyp = 3
/
ATOMIC_SPECIES
Ta 180.95 Ta.upf
Ru 101.07 Ru.upf
Tc 98.00 Tc.upf
CELL_PARAMETERS angstrom
2.2280 -6.7044 0.0000
2.2280 6.7044 0.0000
0.0000 0.0000 6.4466
ATOMIC_POSITIONS angstrom
Ta 2.2280 4.4642 4.8601
Ta 2.2280 0.0000 4.8500
Ta 2.2280 -4.4642 4.8601
Ta 2.2280 0.0000 1.5967
Ta 2.2280 4.4642 1.5865
Ta 2.2280 -4.4642 1.5865
Ru 0.0000 0.0000 3.2233
Ru 2.2280 2.2242 3.2233
Ru 0.0000 0.0000 0.0000
Ru 2.2280 -2.2242 3.2233
Tc 2.2280 2.2222 0.0000
Tc 2.2280 -2.2222 0.0000

Entry 2:
! CeDyPd, optimized geometry, DFT PBE; values from VASP
! E above lowest polymorph: 0 meV per atom
! formation energy: -1.3 eV per formula unit
! SG: I4mm (107)
&SYSTEM
  ibrav = 0, nat = 3, ntyp = 3
/
ATOMIC_SPECIES
Pd 106.42 Pd.upf
Dy 162.50 Dy.upf
Ce 140.12 Ce.upf
CELL_PARAMETERS angstrom
-1.1879 -3.3370 0.1733
1.5814 -0.3994 3.1490
-5.2884 3.8264 1.1442
ATOMIC_POSITIONS angstrom
Pd -1.5541 -1.1948 2.6258
Dy -3.1056 1.1944 1.7111
Ce -0.2352 0.0905 0.1296

Entry 3:
! PuTlAu, optimized geometry, DFT PBE; values from VASP
! E above lowest polymorph: 561 meV per atom
! formation energy: 1.0 eV per formula unit
! SG: I4mm (107)
&SYSTEM
  ibrav = 0, nat = 3, ntyp = 3
/
ATOMIC_SPECIES
Au 196.97 Au.upf
Tl 204.38 Tl.upf
Pu 244.00 Pu.upf
CELL_PARAMETERS angstrom
-2.1695 0.7733 -2.0259
1.8537 -0.8255 -2.3003
-2.9452 -7.8377 2.4843
ATOMIC_POSITIONS angstrom
Au -0.6524 -1.6534 0.0675
Tl -2.9063 -7.3650 0.3009
Pu -1.7165 -4.3501 0.1777

Entry 4:
! CsYFeBr6, optimized geometry, DFT PBE; values from VASP
! SG: C2 (5)
! final energy: -4.24 eV/atom
&SYSTEM
  ibrav = 0, nat = 9, ntyp = 4
/
ATOMIC_SPECIES
Cs 132.91 Cs.upf
Fe 55.84 Fe.upf
Br 79.90 Br.upf
Y 88.91 Y.upf
CELL_PARAMETERS angstrom
7.1208 0.0015 -0.0034
3.5617 6.1659 0.0026
-0.0039 0.0058 8.1958
ATOMIC_POSITIONS angstrom
Cs -0.0027 0.0066 8.1958
Fe 7.1222 4.1163 4.0972
Br 8.0143 6.0667 2.5266
Br 5.8654 2.3806 5.6813
Br 4.9911 3.8954 2.5135
Br 6.2216 6.0651 5.6662
Br 8.3599 2.3617 2.5283
Br 9.2573 3.9134 5.6678
Y 3.5623 2.0607 4.0974

Entry 5:
! NdV5, optimized geometry, DFT PBE; values from VASP
! formation energy: 2.5 eV per formula unit
! SG: Cmmm (65)
&SYSTEM
  ibrav = 0, nat = 6, ntyp = 2
/
ATOMIC_SPECIES
V 50.94 V.upf
Nd 144.24 Nd.upf
CELL_PARAMETERS angstrom
3.1189 0.0000 0.0000
0.0000 4.4652 0.0000
0.0000 -2.2326 6.9593
ATOMIC_POSITIONS angstrom
V 0.0000 2.2326 2.4102
V 1.5595 2.2326 4.3026
V 0.0000 0.0000 4.5491
V 1.5595 2.2326 0.0000
V 1.5595 0.0000 2.6566
Nd 0.0000 0.0000 0.0000

Entry 6:
! Li2CaZn4, optimized geometry, DFT PBE; values from VASP
! formation energy: -1.6 eV per formula unit
! SG: I4/mmm (139)
&SYSTEM
  ibrav = 0, nat = 7, ntyp = 3
/
ATOMIC_SPECIES
Zn 65.41 Zn.upf
Ca 40.08 Ca.upf
Li 6.94 Li.upf
CELL_PARAMETERS angstrom
5.0691 0.0000 0.0000
2.5346 4.9360 0.0000
2.5346 0.0000 4.9360
ATOMIC_POSITIONS angstrom
Zn 2.5346 1.8721 0.0000
Zn 5.0691 0.0000 3.0639
Zn 5.0691 3.0639 0.0000
Zn 2.5346 0.0000 1.8721
Ca 0.0000 0.0000 0.0000
Li 3.8019 2.4680 2.4680
Li 6.3364 2.4680 2.4680

Entry 7:
! Sm2YSc4, optimized geometry, DFT PBE; values from VASP
! formation energy: 1.2 eV per formula unit
! SG: Cmmm (65)
&SYSTEM
  ibrav = 0, nat = 7, ntyp = 3
/
ATOMIC_SPECIES
Sc 44.96 Sc.upf
Y 88.91 Y.upf
Sm 150.36 Sm.upf
CELL_PARAMETERS angstrom
-3.2033 -2.7077 -3.1606
2.5896 -2.5843 -0.4107
-5.1297 -3.8714 8.5155
ATOMIC_POSITIONS angstrom
Sc -1.8275 -4.6934 1.5096
Sc -1.1378 -4.5675 5.0661
Sc -1.4023 -1.8881 3.0388
Sc -3.9159 -4.4698 3.4346
Y 1.2948 -1.2921 -0.2053
Sm -2.1712 -2.1207 -0.3461
Sm -3.5722 -7.0426 5.2904

Entry 8:
! RbReTc3, optimized geometry, DFT PBE; values from VASP
! E above lowest polymorph: 0 meV per atom
! formation energy: 8.5 eV per formula unit
! SG: Pm-3m (221)
&SYSTEM
  ibrav = 0, nat = 5, ntyp = 3
/
ATOMIC_SPECIES
Tc 98.00 Tc.upf
Rb 85.47 Rb.upf
Re 186.21 Re.upf
CELL_PARAMETERS angstrom
4.8637 0.0000 0.0000
0.0000 4.8637 0.0000
0.0000 0.0000 4.8637
ATOMIC_POSITIONS angstrom
Tc 0.0000 2.4319 0.0000
Tc 2.4319 0.0000 0.0000
Tc 0.0000 0.0000 2.4319
Rb 2.4319 2.4319 2.4319
Re 0.0000 0.0000 0.0000